# 1
! YFeCoSi, optimized geometry, DFT PBE-GGA; values from VASP
! Electronic total energy = -27.99 eV per cell
! Polymorph energy (0 for the lowest one) = 0.0000 eV per atom
&SYSTEM
  ibrav = 0, nat = 4, ntyp = 4
/
ATOMIC_SPECIES
Co 58.93 Co.upf
Fe 55.84 Fe.upf
Si 28.09 Si.upf
Y 88.91 Y.upf
CELL_PARAMETERS angstrom
2.209 -1.597 3.314
-2.042 -2.145 3.105
0.528 -4.241 0.382
ATOMIC_POSITIONS crystal
Co 0.750 0.750 0.750
Fe 0.250 0.250 0.250
Si 0.000 0.000 0.000
Y 0.500 0.500 0.500



# 2
! Ho3Zn3Ni2Pt, optimized geometry, DFT PBE-GGA; values from VASP
! Electronic total energy = -40.25 eV per cell
! Energy of formation = -5.5 eV per formula unit
&SYSTEM
  ibrav = 0, nat = 9, ntyp = 4
/
ATOMIC_SPECIES
Ho 164.93 Ho.upf
Ni 58.69 Ni.upf
Pt 195.08 Pt.upf
Zn 65.41 Zn.upf
CELL_PARAMETERS angstrom
7.066 0.000 0.000
-3.533 6.119 0.000
0.000 0.000 3.828
ATOMIC_POSITIONS crystal
Ho 0.410 0.000 0.000
Ho 0.000 0.410 0.000
Ho 0.590 0.590 0.000
Ni 0.667 0.333 0.500
Ni 0.333 0.667 0.500
Pt 0.000 0.000 0.000
Zn 0.742 0.000 0.500
Zn 0.258 0.258 0.500
Zn 0.000 0.742 0.500



# 3
! TbSnAuSe3, optimized geometry, DFT PBE-GGA; values from VASP
! Electronic total energy = -55.21 eV per cell
! Polymorph energy (0 for the lowest one) = 0.0540 eV per atom
&SYSTEM
  ibrav = 0, nat = 12, ntyp = 4
/
ATOMIC_SPECIES
Au 196.97 Au.upf
Se 78.96 Se.upf
Sn 118.71 Sn.upf
Tb 158.93 Tb.upf
CELL_PARAMETERS angstrom
7.916 0.000 0.000
0.000 4.076 0.000
-3.001 0.000 9.559
ATOMIC_POSITIONS crystal
Au 0.125 0.250 0.086
Au 0.875 0.750 0.914
Se 0.318 0.750 0.036
Se 0.046 0.250 0.322
Se 0.580 0.250 0.370
Se 0.420 0.750 0.630
Se 0.954 0.750 0.678
Se 0.682 0.250 0.964
Sn 0.728 0.750 0.206
Sn 0.272 0.250 0.794
Tb 0.306 0.750 0.330
Tb 0.694 0.250 0.670



# 4
! LaPmZn, optimized geometry, DFT PBE-GGA; values from VASP
! Electronic total energy = -10.90 eV per cell
! Energy of formation = 0.0 eV per formula unit
&SYSTEM
  ibrav = 0, nat = 3, ntyp = 3
/
ATOMIC_SPECIES
La 138.91 La.upf
Pm 145.00 Pm.upf
Zn 65.41 Zn.upf
CELL_PARAMETERS angstrom
0.000 3.616 3.616
3.616 0.000 3.616
3.616 3.616 0.000
ATOMIC_POSITIONS crystal
La 0.250 0.250 0.250
Pm 0.750 0.750 0.750
Zn 0.000 0.000 0.000



# 5
! Nd2ErP3, optimized geometry, DFT PBE-GGA; values from VASP
! Electronic total energy = -39.64 eV per cell
&SYSTEM
  ibrav = 0, nat = 6, ntyp = 3
/
ATOMIC_SPECIES
Er 167.26 Er.upf
Nd 144.24 Nd.upf
P 30.97 P.upf
CELL_PARAMETERS angstrom
-3.119 -0.567 -2.602
2.110 -3.224 1.406
-6.330 -0.760 7.755
ATOMIC_POSITIONS crystal
Er 0.000 0.000 0.500
Nd 0.667 0.333 0.172
Nd 0.333 0.667 0.828
P 0.000 0.000 0.000
P 0.333 0.667 0.344
P 0.667 0.333 0.656



# 6
! Nb2TcGe2, optimized geometry, DFT PBE-GGA; values from VASP
! Electronic total energy = -38.62 eV per cell
&SYSTEM
  ibrav = 0, nat = 5, ntyp = 3
/
ATOMIC_SPECIES
Ge 72.64 Ge.upf
Nb 92.91 Nb.upf
Tc 98.00 Tc.upf
CELL_PARAMETERS angstrom
-1.765 1.765 6.761
1.765 -1.765 6.761
1.765 1.765 -6.761
ATOMIC_POSITIONS crystal
Ge 0.750 0.250 0.500
Ge 0.250 0.750 0.500
Nb 0.399 0.399 0.000
Nb 0.601 0.601 0.000
Tc 0.000 0.000 0.000



# 7
! ZnNiSnMo, optimized geometry, DFT PBE-GGA; values from VASP
! Electronic total energy = -20.81 eV per cell
&SYSTEM
  ibrav = 0, nat = 4, ntyp = 4
/
ATOMIC_SPECIES
Mo 95.94 Mo.upf
Ni 58.69 Ni.upf
Sn 118.71 Sn.upf
Zn 65.41 Zn.upf
CELL_PARAMETERS angstrom
0.172 -2.136 3.890
-3.757 -1.120 2.086
-1.216 -4.264 0.248
ATOMIC_POSITIONS crystal
Mo 0.250 0.250 0.250
Ni 0.750 0.750 0.750
Sn 0.000 0.000 0.000
Zn 0.500 0.500 0.500



# 8
! Ho2Ga8Pd, optimized geometry, DFT PBE-GGA; values from VASP
! Electronic total energy = -44.25 eV per cell
&SYSTEM
  ibrav = 0, nat = 11, ntyp = 3
/
ATOMIC_SPECIES
Ga 69.72 Ga.upf
Ho 164.93 Ho.upf
Pd 106.42 Pd.upf
CELL_PARAMETERS angstrom
-1.055 3.183 2.738
-2.415 -2.769 2.288
8.785 -2.482 6.271
ATOMIC_POSITIONS crystal
Ga 0.500 0.000 0.127
Ga 0.000 0.500 0.127
Ga 0.500 0.500 0.309
Ga 0.500 0.000 0.500
Ga 0.000 0.500 0.500
Ga 0.500 0.500 0.691
Ga 0.500 0.000 0.873
Ga 0.000 0.500 0.873
Ho 0.000 0.000 0.312
Ho 0.000 0.000 0.688
Pd 0.000 0.000 0.000



> Which of these has the lowest electronic total energy?

TbSnAuSe3



> Which value of electronic total energy does entry 4 give?

-10.90 eV per cell



> electronic total energy of number 8 (Ho2Ga8Pd)?

-44.25 eV per cell